CaPmRh PBE optimized geometry; energy above the most stable polymorph in this dataset = 0.0507 eV per atom; DFT formation energy = -0.41 eV per atom; SG = No. 216; total DFT energy (no corrections) = -5.1139 eV per atom; total moment = 0.00 μB/cell
1.0
-1.031 -4.781 0.291
1.847 -2.687 3.657
-2.942 -1.660 3.549
Ca Rh Pm
1 1 1
direct
0.500 0.500 0.500
0.250 0.250 0.250
0.000 0.000 0.000



Ca2Pm2Rh3 PBE optimized geometry; energy above the most stable polymorph in this dataset = 0.0000 eV per atom; DFT formation energy = -0.53 eV per atom; SG = No. 12; total DFT energy (no corrections) = -5.6108 eV per atom; total moment = 0.00 μB/cell
1.0
-2.460 -0.857 4.159
-1.254 -2.350 -4.130
7.194 -4.579 0.416
Ca Pm Rh
2 2 3
direct
0.255 0.127 0.383
0.745 0.873 0.617
0.756 0.378 0.133
0.244 0.622 0.867
0.000 0.000 0.000
0.514 0.257 0.771
0.486 0.743 0.229



CaPm8Rh2 PBE optimized geometry; DFT formation energy = -0.20 eV per atom; SG = No. 12; total DFT energy (no corrections) = -5.1725 eV per atom; total moment = 0.00 μB/cell
1.0
-3.563 2.343 -3.930
-2.220 -7.887 -1.614
-3.574 3.748 6.551
Ca Pm Rh
1 8 2
direct
0.500 0.000 0.000
0.942 0.919 0.660
0.942 0.660 0.919
0.283 0.581 0.581
0.500 0.736 0.264
0.500 0.264 0.736
0.717 0.419 0.419
0.058 0.340 0.081
0.058 0.081 0.340
0.000 0.292 0.708
0.000 0.708 0.292



CaPmRh PBE optimized geometry; energy above the most stable polymorph in this dataset = 0.0000 eV per atom; DFT formation energy = -0.46 eV per atom; SG = No. 2; total DFT energy (no corrections) = -5.1646 eV per atom; total moment = 0.00 μB/cell
1.0
5.543 0.246 0.501
0.352 5.780 0.632
0.438 -1.276 5.413
Ca Pm Rh
2 2 2
direct
0.728 0.570 0.273
0.276 0.438 0.730
0.794 0.003 0.793
0.211 0.005 0.211
0.687 0.086 0.317
0.318 0.921 0.686



CaPmRh PBE optimized geometry; energy above the most stable polymorph in this dataset = 0.0322 eV per atom; DFT formation energy = -0.43 eV per atom; SG = No. 107; total DFT energy (no corrections) = -5.1325 eV per atom; total moment = 0.00 μB/cell
1.0
3.511 0.000 0.000
0.000 3.511 0.000
-1.755 -1.755 6.637
Ca Rh Pm
1 1 1
direct
0.035 0.035 0.071
0.674 0.674 0.348
0.290 0.290 0.581



CaPm2Rh3 PBE optimized geometry; energy above the most stable polymorph in this dataset = 0.0066 eV per atom; DFT formation energy = -0.59 eV per atom; SG = No. 123; total DFT energy (no corrections) = -6.1857 eV per atom; total moment = 0.00 μB/cell
1.0
3.473 0.000 0.000
0.000 3.473 0.000
0.000 0.000 10.606
Ca Pm Rh
1 2 3
direct
0.500 0.500 0.500
0.500 0.500 0.831
0.500 0.500 0.169
0.000 0.000 0.000
0.000 0.000 0.675
0.000 0.000 0.325